# 1
First-principles (PBE-GGA) data for a relaxed structure of Rb2Na3ThF12, as listed in the Alexandria database.

## Properties
Space-group type: R-3m
Energy relative to the elements, uncorrected in eV/f.u.: -46.72

Cell and atoms, written as CIF:
```
data_Rb2Na3ThF12
_symmetry_space_group_name_H-M 'P 1'
_symmetry_Int_Tables_number 1
_cell_length_a 8.2718
_cell_length_b 8.2718
_cell_length_c 8.2718
_cell_angle_alpha 57.03
_cell_angle_beta 57.03
_cell_angle_gamma 57.03
loop_
_symmetry_equiv_pos_as_xyz
'x,y,z'
loop_
_atom_site_label
_atom_site_fract_x
_atom_site_fract_y
_atom_site_fract_z
_atom_site_occupancy
Rb1 0.5969 0.5969 0.5969 1
Rb2 0.4031 0.4031 0.4031 1
Na1 0.5000 0.0000 0.0000 1
Na2 0.0000 0.5000 0.0000 1
Na3 0.0000 0.0000 0.5000 1
Th1 0.0000 0.0000 0.0000 1
F1 0.3485 0.3485 0.8362 1
F2 0.9225 0.9225 0.3335 1
F3 0.3335 0.9225 0.9225 1
F4 0.8362 0.3485 0.3485 1
F5 0.9225 0.3335 0.9225 1
F6 0.3485 0.8362 0.3485 1
F7 0.6515 0.6515 0.1638 1
F8 0.0775 0.0775 0.6665 1
F9 0.6665 0.0775 0.0775 1
F10 0.1638 0.6515 0.6515 1
F11 0.0775 0.6665 0.0775 1
F12 0.6515 0.1638 0.6515 1
```

---

# 2
First-principles (PBE-GGA) data for a relaxed structure of LaNiGe2, as listed in the Alexandria database.

## Properties
Space-group type: Cmmm
Energy relative to the elements in meV/atom: -717

Cell and atoms, written as CIF:
```
data_LaNiGe2
_symmetry_space_group_name_H-M 'P 1'
_symmetry_Int_Tables_number 1
_cell_length_a 4.3187
_cell_length_b 4.2413
_cell_length_c 8.8840
_cell_angle_alpha 103.81
_cell_angle_beta 90.00
_cell_angle_gamma 90.00
loop_
_symmetry_equiv_pos_as_xyz
'x,y,z'
loop_
_atom_site_label
_atom_site_fract_x
_atom_site_fract_y
_atom_site_fract_z
_atom_site_occupancy
La1 0.0000 0.8558 0.7116 1
La2 0.0000 0.1442 0.2884 1
Ni1 0.5000 0.5724 0.1447 1
Ni2 0.5000 0.4276 0.8553 1
Ge1 0.0000 0.5000 0.0000 1
Ge2 0.5000 0.0000 0.0000 1
Ge3 0.5000 0.7084 0.4168 1
Ge4 0.5000 0.2916 0.5832 1
```

---

# 3
First-principles (PBE-GGA) data for a relaxed structure of CsZrW3, as listed in the Alexandria database.

## Properties
Space-group type: Pm-3m
Offset from the most stable computed form in meV per atom: 681
Energy relative to the elements in meV/atom: 3503

Cell and atoms, written as CIF:
```
data_CsZrW3
_symmetry_space_group_name_H-M 'P 1'
_symmetry_Int_Tables_number 1
_cell_length_a 4.9038
_cell_length_b 4.9038
_cell_length_c 4.9038
_cell_angle_alpha 90.00
_cell_angle_beta 90.00
_cell_angle_gamma 90.00
loop_
_symmetry_equiv_pos_as_xyz
'x,y,z'
loop_
_atom_site_label
_atom_site_fract_x
_atom_site_fract_y
_atom_site_fract_z
_atom_site_occupancy
Cs1 0.0000 0.0000 0.0000 1
Zr1 0.5000 0.5000 0.5000 1
W1 0.0000 0.5000 0.0000 1
W2 0.0000 0.0000 0.5000 1
W3 0.5000 0.0000 0.0000 1
```

---

# 4
First-principles (PBE-GGA) data for a relaxed structure of PrTh2Tl, as listed in the Alexandria database.

## Properties
Space-group type: R3m
Offset from the most stable computed form in meV per atom: 133
Energy relative to the elements in meV/atom: 40

Cell and atoms, written as CIF:
```
data_PrTh2Tl
_symmetry_space_group_name_H-M 'P 1'
_symmetry_Int_Tables_number 1
_cell_length_a 3.5916
_cell_length_b 3.5916
_cell_length_c 11.7491
_cell_angle_alpha 81.21
_cell_angle_beta 81.21
_cell_angle_gamma 60.00
loop_
_symmetry_equiv_pos_as_xyz
'x,y,z'
loop_
_atom_site_label
_atom_site_fract_x
_atom_site_fract_y
_atom_site_fract_z
_atom_site_occupancy
Pr1 0.5010 0.5010 0.4971 1
Th1 0.0794 0.0794 0.7617 1
Th2 0.2536 0.2536 0.2393 1
Tl1 0.6661 0.6661 0.0018 1
```

---

# 5
First-principles (PBE-GGA) data for a relaxed structure of BeCrP, as listed in the Alexandria database.

## Properties
Space-group type: F222
Offset from the most stable computed form in meV per atom: 91
Energy relative to the elements in meV/atom: -283

Cell and atoms, written as CIF:
```
data_BeCrP
_symmetry_space_group_name_H-M 'P 1'
_symmetry_Int_Tables_number 1
_cell_length_a 7.5687
_cell_length_b 4.2859
_cell_length_c 7.6759
_cell_angle_alpha 90.00
_cell_angle_beta 90.00
_cell_angle_gamma 90.00
loop_
_symmetry_equiv_pos_as_xyz
'x,y,z'
loop_
_atom_site_label
_atom_site_fract_x
_atom_site_fract_y
_atom_site_fract_z
_atom_site_occupancy
Cr1 0.0000 0.0000 0.5000 1
Cr2 0.0000 0.5000 0.0000 1
Cr3 0.5000 0.0000 0.0000 1
Cr4 0.5000 0.5000 0.5000 1
Cr5 0.2500 0.2500 0.2500 1
Cr6 0.2500 0.7500 0.7500 1
Cr7 0.7500 0.2500 0.7500 1
Cr8 0.7500 0.7500 0.2500 1
Be1 0.1661 0.0000 0.0000 1
Be2 0.8339 0.0000 0.0000 1
Be3 0.1661 0.5000 0.5000 1
Be4 0.8339 0.5000 0.5000 1
Be5 0.6661 0.0000 0.5000 1
Be6 0.3339 0.0000 0.5000 1
Be7 0.6661 0.5000 0.0000 1
Be8 0.3339 0.5000 0.0000 1
P1 0.9059 0.2500 0.2500 1
P2 0.9059 0.7500 0.7500 1
P3 0.0941 0.2500 0.7500 1
P4 0.0941 0.7500 0.2500 1
P5 0.4059 0.2500 0.7500 1
P6 0.4059 0.7500 0.2500 1
P7 0.5941 0.2500 0.2500 1
P8 0.5941 0.7500 0.7500 1
```

---

# 6
First-principles (PBE-GGA) data for a relaxed structure of LiGa2IrN, as listed in the Alexandria database.

## Properties
Space-group type: P4/mmm
Energy relative to the elements, uncorrected in eV/f.u.: 7.49

Cell and atoms, written as CIF:
```
data_LiGa2IrN
_symmetry_space_group_name_H-M 'P 1'
_symmetry_Int_Tables_number 1
_cell_length_a 4.2982
_cell_length_b 4.2982
_cell_length_c 4.0764
_cell_angle_alpha 90.00
_cell_angle_beta 90.00
_cell_angle_gamma 90.00
loop_
_symmetry_equiv_pos_as_xyz
'x,y,z'
loop_
_atom_site_label
_atom_site_fract_x
_atom_site_fract_y
_atom_site_fract_z
_atom_site_occupancy
Ir1 0.0000 0.0000 0.5000 1
Li1 0.0000 0.0000 0.0000 1
Ga1 0.0000 0.5000 0.0000 1
Ga2 0.5000 0.0000 0.0000 1
N1 0.5000 0.5000 0.5000 1
```

---

# 7
First-principles (PBE-GGA) data for a relaxed structure of Sn3PPd, as listed in the Alexandria database.

## Properties
Space-group type: Pm-3m
Offset from the most stable computed form in meV per atom: 268
Energy relative to the elements in meV/atom: 571

Cell and atoms, written as CIF:
```
data_Sn3PPd
_symmetry_space_group_name_H-M 'P 1'
_symmetry_Int_Tables_number 1
_cell_length_a 5.1253
_cell_length_b 5.1253
_cell_length_c 5.1253
_cell_angle_alpha 90.00
_cell_angle_beta 90.00
_cell_angle_gamma 90.00
loop_
_symmetry_equiv_pos_as_xyz
'x,y,z'
loop_
_atom_site_label
_atom_site_fract_x
_atom_site_fract_y
_atom_site_fract_z
_atom_site_occupancy
P1 0.0000 0.0000 0.0000 1
Sn1 0.0000 0.5000 0.0000 1
Sn2 0.0000 0.0000 0.5000 1
Sn3 0.5000 0.0000 0.0000 1
Pd1 0.5000 0.5000 0.5000 1
```

---

# 8
First-principles (PBE-GGA) data for a relaxed structure of BaTaW2, as listed in the Alexandria database.

## Properties
Space-group type: Cmm2
Offset from the most stable computed form in meV per atom: 62
Energy relative to the elements in meV/atom: 814

Cell and atoms, written as CIF:
```
data_BaTaW2
_symmetry_space_group_name_H-M 'P 1'
_symmetry_Int_Tables_number 1
_cell_length_a 2.9561
_cell_length_b 2.9561
_cell_length_c 10.4222
_cell_angle_alpha 90.00
_cell_angle_beta 90.00
_cell_angle_gamma 111.78
loop_
_symmetry_equiv_pos_as_xyz
'x,y,z'
loop_
_atom_site_label
_atom_site_fract_x
_atom_site_fract_y
_atom_site_fract_z
_atom_site_occupancy
Ba1 0.0000 0.0000 0.4905 1
W1 0.0000 0.0000 0.0071 1
W2 0.5000 0.5000 0.2035 1
Ta1 0.5000 0.5000 0.7988 1
```

---

# 9
First-principles (PBE-GGA) data for a relaxed structure of RbTiC2S, as listed in the Alexandria database.

## Properties
Space-group type: P4/mmm
Energy relative to the elements, uncorrected in eV/f.u.: 4.47

Cell and atoms, written as CIF:
```
data_RbTiC2S
_symmetry_space_group_name_H-M 'P 1'
_symmetry_Int_Tables_number 1
_cell_length_a 4.3101
_cell_length_b 4.7991
_cell_length_c 4.3101
_cell_angle_alpha 90.00
_cell_angle_beta 90.00
_cell_angle_gamma 90.00
loop_
_symmetry_equiv_pos_as_xyz
'x,y,z'
loop_
_atom_site_label
_atom_site_fract_x
_atom_site_fract_y
_atom_site_fract_z
_atom_site_occupancy
S1 0.0000 0.5000 0.0000 1
C1 0.0000 0.0000 0.5000 1
C2 0.5000 0.0000 0.0000 1
Rb1 0.5000 0.5000 0.5000 1
Ti1 0.0000 0.0000 0.0000 1
```

---

# 10
First-principles (PBE-GGA) data for a relaxed structure of NpTlGaO6, as listed in the Alexandria database.

## Properties
Space-group type: P-31c
Energy relative to the elements, uncorrected in eV/f.u.: -16.39

Cell and atoms, written as CIF:
```
data_NpTlGaO6
_symmetry_space_group_name_H-M 'P 1'
_symmetry_Int_Tables_number 1
_cell_length_a 5.3524
_cell_length_b 5.3524
_cell_length_c 9.7194
_cell_angle_alpha 90.00
_cell_angle_beta 90.00
_cell_angle_gamma 120.00
loop_
_symmetry_equiv_pos_as_xyz
'x,y,z'
loop_
_atom_site_label
_atom_site_fract_x
_atom_site_fract_y
_atom_site_fract_z
_atom_site_occupancy
Np1 0.6667 0.3333 0.2500 1
Np2 0.3333 0.6667 0.7500 1
Tl1 0.0000 0.0000 0.0000 1
Tl2 0.0000 0.0000 0.5000 1
Ga1 0.3333 0.6667 0.2500 1
Ga2 0.6667 0.3333 0.7500 1
O1 0.6418 0.6496 0.1368 1
O2 0.0078 0.3582 0.1368 1
O3 0.3582 0.0078 0.6368 1
O4 0.9922 0.6418 0.8632 1
O5 0.3504 0.3582 0.3632 1
O6 0.0078 0.6496 0.3632 1
O7 0.6496 0.0078 0.8632 1
O8 0.6418 0.9922 0.3632 1
O9 0.9922 0.3504 0.6368 1
O10 0.3504 0.9922 0.1368 1
O11 0.6496 0.6418 0.6368 1
O12 0.3582 0.3504 0.8632 1
```

---

# 11
First-principles (PBE-GGA) data for a relaxed structure of YLu3, as listed in the Alexandria database.

## Properties
Space-group type: P6_3/mmc
Offset from the most stable computed form in meV per atom: 2
Energy relative to the elements in meV/atom: 2

Cell and atoms, written as CIF:
```
data_YLu3
_symmetry_space_group_name_H-M 'P 1'
_symmetry_Int_Tables_number 1
_cell_length_a 7.1118
_cell_length_b 7.1118
_cell_length_c 5.5297
_cell_angle_alpha 90.00
_cell_angle_beta 90.00
_cell_angle_gamma 120.00
loop_
_symmetry_equiv_pos_as_xyz
'x,y,z'
loop_
_atom_site_label
_atom_site_fract_x
_atom_site_fract_y
_atom_site_fract_z
_atom_site_occupancy
Y1 0.3333 0.6667 0.7500 1
Y2 0.6667 0.3333 0.2500 1
Lu1 0.1655 0.3311 0.2500 1
Lu2 0.6689 0.8345 0.2500 1
Lu3 0.1655 0.8345 0.2500 1
Lu4 0.8345 0.6689 0.7500 1
Lu5 0.3311 0.1655 0.7500 1
Lu6 0.8345 0.1655 0.7500 1
```

---

# 12
First-principles (PBE-GGA) data for a relaxed structure of NaTbPuO6, as listed in the Alexandria database.

## Properties
Space-group type: P-31c
Energy relative to the elements, uncorrected in eV/f.u.: -21.39

Cell and atoms, written as CIF:
```
data_NaTbPuO6
_symmetry_space_group_name_H-M 'P 1'
_symmetry_Int_Tables_number 1
_cell_length_a 5.6155
_cell_length_b 5.6155
_cell_length_c 9.6035
_cell_angle_alpha 90.00
_cell_angle_beta 90.00
_cell_angle_gamma 120.00
loop_
_symmetry_equiv_pos_as_xyz
'x,y,z'
loop_
_atom_site_label
_atom_site_fract_x
_atom_site_fract_y
_atom_site_fract_z
_atom_site_occupancy
Na1 0.3333 0.6667 0.2500 1
Na2 0.6667 0.3333 0.7500 1
Tb1 0.0000 0.0000 0.0000 1
Tb2 0.0000 0.0000 0.5000 1
Pu1 0.6667 0.3333 0.2500 1
Pu2 0.3333 0.6667 0.7500 1
O1 0.6875 0.6333 0.1331 1
O2 0.9459 0.3125 0.1331 1
O3 0.3125 0.9459 0.6331 1
O4 0.0541 0.6875 0.8669 1
O5 0.3667 0.3125 0.3669 1
O6 0.9459 0.6333 0.3669 1
O7 0.6333 0.9459 0.8669 1
O8 0.6875 0.0541 0.3669 1
O9 0.0541 0.3667 0.6331 1
O10 0.3667 0.0541 0.1331 1
O11 0.6333 0.6875 0.6331 1
O12 0.3125 0.3667 0.8669 1
```